# MnTePbO5 GGA+U optimized geometry
# - Total magnetic moment: 0.373 μB/atom
# - E_tot: -189.09 eV for the cell shown
data_MnTePbO5
_chemical_formula_sum 'Mn4 Te4 Pb4 O20'
_space_group_name_H-M_alt 'C 1 2/c 1'
_space_group_IT_number 15
_space_group_name_Hall '-C 2yc'
_cell_length_a 7.652
_cell_length_b 14.730
_cell_length_c 5.712
_cell_angle_alpha 90.00
_cell_angle_beta 119.18
_cell_angle_gamma 90.00
loop_
_atom_site_label
_atom_site_type_symbol
_atom_site_fract_x
_atom_site_fract_y
_atom_site_fract_z
Mn1 Mn 0.000 0.021 0.250
Te1 Te 0.000 0.429 0.750
Pb1 Pb 0.250 0.250 0.500
O1 O 0.000 0.150 0.250
O2 O 0.029 0.343 0.012
O3 O 0.188 0.018 0.112